No. 1
Ba12HgPt5 | PBE-GGA | relaxed

abc: 8.1769 8.1769 15.1131
angles: 90.04 90.04 121.18
Closest atoms and distances in Å follow each position.
Sites, in units of the cell vectors:
Ba1 0.0032 0.6695 0.6090  3 Pt 3.16-3.19
Ba2 0.1383 0.1383 0.1175  2 Pt 3.15, 1 Hg 3.41
Ba3 0.1444 0.5034 0.8839  2 Pt 3.15, 1 Hg 3.41
Ba4 0.3305 0.9968 0.3910  3 Pt 3.16-3.19
Ba5 0.3356 0.3356 0.6114  3 Pt 3.18-3.19
Ba6 0.4966 0.8556 0.1161  2 Pt 3.15, 1 Hg 3.41
Ba7 0.5034 0.1444 0.8839  2 Pt 3.15, 1 Hg 3.41
Ba8 0.6644 0.6644 0.3886  3 Pt 3.18-3.19
Ba9 0.6695 0.0032 0.6090  3 Pt 3.16-3.19
Ba10 0.8556 0.4966 0.1161  2 Pt 3.15, 1 Hg 3.41
Ba11 0.8617 0.8617 0.8825  2 Pt 3.15, 1 Hg 3.41
Ba12 0.9968 0.3305 0.3910  3 Pt 3.16-3.19
Hg1 0.5000 0.5000 0.0000  6 Ba 3.41
Pt1 0.0000 0.0000 0.5000  6 Ba 3.18
Pt2 0.1656 0.8344 0.0000  6 Ba 3.15
Pt3 0.3344 0.6656 0.5000  6 Ba 3.16-3.19
Pt4 0.6656 0.3344 0.5000  6 Ba 3.16-3.19
Pt5 0.8344 0.1656 0.0000  6 Ba 3.15

Summary:
Uncorrected energy   -3.5524 eV per atom
SG   No. 12
Magnetic moment   0.0 μB/f.u.

No. 2
BaHg4Pt | PBE-GGA | relaxed

abc: 8.9162 4.4953 7.9994
angles: 90.00 90.00 90.00
Closest atoms and distances in Å follow each position.
Sites, in units of the cell vectors:
Ba1 0.2500 0.0000 0.1048  1 Pt 3.20, 2 Hg 3.50
Ba2 0.7500 0.0000 0.8952  1 Pt 3.20, 2 Hg 3.50
Hg1 0.0000 0.0000 0.5000  2 Pt 2.76
Hg2 0.0621 0.5000 0.8096  2 Pt 2.93, 1 Hg 3.24
Hg3 0.2500 0.5000 0.4398  2 Pt 3.09, 8 Hg 3.20-3.42
Hg4 0.4379 0.5000 0.8096  2 Pt 2.93, 1 Hg 3.24
Hg5 0.5000 0.0000 0.5000  2 Pt 2.76
Hg6 0.5621 0.5000 0.1904  2 Pt 2.93, 1 Hg 3.24
Hg7 0.7500 0.5000 0.5602  2 Pt 3.09, 8 Hg 3.20-3.42
Hg8 0.9379 0.5000 0.1904  2 Pt 2.93, 1 Hg 3.24
Pt1 0.2500 0.0000 0.7042  8 Hg 2.76-3.09
Pt2 0.7500 0.0000 0.2958  8 Hg 2.76-3.09

Summary:
Energy above the most stable polymorph in this dataset   0.000 eV per atom
SG   No. 51
Magnetic moment   0.0 μB/f.u.

No. 3
Ba2HgPt | PBE-GGA | relaxed

abc: 4.0077 4.0077 8.1673
angles: 90.00 90.00 90.00
Closest atoms and distances in Å follow each position.
Sites, in units of the cell vectors:
Ba1 0.0000 0.0000 0.2246  4 Pt 3.38, 4 Hg 3.62, 1 Ba 3.67
Ba2 0.0000 0.0000 0.7754  4 Pt 3.38, 4 Hg 3.62, 1 Ba 3.67
Hg1 0.5000 0.5000 0.5000  8 Ba 3.62, 4 Hg 4.01
Pt1 0.5000 0.5000 0.0000  8 Ba 3.38

Summary:
Uncorrected energy   -3.1489 eV per atom
SG   No. 123
Magnetic moment   0.0 μB/f.u.